SiNi2P4O14 after structural relaxation, computed with GGA+U.

Calculated values
Raw total energy (eV per atom): -6.919

Cell lengths 17.081, 4.980, 12.348 Å; angles 90.00, 103.48, 90.00 degrees
Space group C2/c (No. 15)
Inequivalent atoms, fractional coordinates:
Si (0.000, 0.156, 0.250)
Ni (0.248, 0.151, 0.629)
P (0.127, 0.365, 0.137)
P (0.136, 0.165, 0.917)
O (0.046, 0.349, 0.179)
O (0.063, 0.035, 0.833)
O (0.095, 0.217, 0.019)
O (0.145, 0.346, 0.621)
O (0.156, 0.425, 0.869)
O (0.194, 0.193, 0.208)
O (0.204, 0.038, 0.456)